Record 1
Computed, not measured: Ta2CrRh after structural relaxation at the PBE-GGA level of DFT.

a = 4.466 Å, b = 4.466 Å, c = 4.466 Å
α = 60.00°, β = 60.00°, γ = 60.00°
Positions (direct):
Cr  0.500  0.500  0.500
Rh  0.750  0.750  0.750
Ta  0.000  0.000  0.000
Ta  0.250  0.250  0.250

Calculated values
Density of states at the Fermi level in states/eV/cell: 6.5
Energy relative to the elements in meV/atom: -19.2

Record 2
Computed, not measured: HfNO2F after structural relaxation at the PBE-GGA level of DFT.

a = 3.667 Å, b = 3.667 Å, c = 3.611 Å
α = 90.00°, β = 90.00°, γ = 90.00°
Positions (direct):
N  0.000  0.000  0.000
Hf  0.500  0.500  0.500
O  0.000  0.500  0.000
O  0.500  0.000  0.000
F  0.000  0.000  0.500

Calculated values
Density of states at the Fermi level in states/eV/cell: 1.3
ΔE_f (raw) in eV per atom: -0.09

Record 3
Computed, not measured: BeTlHOs2 after structural relaxation at the PBE-GGA level of DFT.

a = 3.989 Å, b = 3.981 Å, c = 3.989 Å
α = 90.00°, β = 90.00°, γ = 90.00°
Positions (direct):
Be  0.000  0.500  0.000
Tl  0.500  0.500  0.500
Os  0.000  0.000  0.500
Os  0.500  0.000  0.000
H  0.000  0.000  0.000

Calculated values
Density of states at the Fermi level in states/eV/cell: 4.5
VASP energy in eV for the cell shown: -28.0

Record 4
Computed, not measured: NaTcAg2 after structural relaxation at the PBE-GGA level of DFT.

a = 4.722 Å, b = 4.722 Å, c = 4.722 Å
α = 60.00°, β = 60.00°, γ = 60.00°
Positions (direct):
Na  0.000  0.000  0.000
Tc  0.500  0.500  0.500
Ag  0.250  0.250  0.250
Ag  0.750  0.750  0.750

Calculated values
Density of states at the Fermi level in states/eV/cell: 3.4
Energy above the most stable polymorph in this dataset in kJ/mol of formula units: 0
Energy relative to the elements in meV/atom: 673.2